## RbNaCa2Rh (PBE)

Data for an optimized crystal structure of RbNaCa2Rh.

Output
* crystal system: tetragonal
* energy above the lowest structure with this stoichiometry: 0.0 meV/atom
* DFT formation energy: -0.03 eV/f.u.
* final energy: -13.7 eV/f.u.
* theoretical density: 2.57 g/cm3

abc: 5.552 5.552 6.105
angles: 90.00 90.00 90.00
Fractional positions:
Ca: 0.000 0.500 0.000
Ca: 0.500 0.000 0.000
Na: 0.000 0.000 0.500
Rb: 0.500 0.500 0.500
Rh: 0.000 0.000 0.000

---

## Y6TeAs3Se2 (PBE)

Data for an optimized crystal structure of Y6TeAs3Se2.

Output
* crystal system: monoclinic
* E_form (uncorrected): -19.74 eV per formula unit
* final energy: -82.6 eV/f.u.
* theoretical density: 5.68 g/cm3

abc: 4.141 8.354 9.323
angles: 103.62 102.83 90.00
Fractional positions:
Y: 0.325 0.922 0.651
Y: 0.664 0.590 0.329
Y: 0.002 0.730 0.004
Y: 0.675 0.078 0.349
Y: 0.336 0.410 0.671
Y: 0.998 0.270 0.996
Se: 0.168 0.334 0.335
Se: 0.832 0.666 0.665
As: 0.835 0.168 0.670
As: 0.165 0.832 0.330
As: 0.500 0.500 0.000
Te: 0.500 0.000 0.000